! ZrV2P2, relaxed, DFT PBE; values from VASP
! - space-group type = No. 139
! - energy of formation from the pure elements (meV/atom) = -812.2
&SYSTEM
  ibrav = 0, nat = 5, ntyp = 3
/
ATOMIC_SPECIES
P 30.97 P.upf
Zr 91.22 Zr.upf
V 50.94 V.upf
ATOMIC_POSITIONS angstrom
P 1.847 1.847 1.180
P 3.694 3.694 4.173
Zr 0.000 0.000 0.000
V 3.694 1.847 2.677
V 1.847 3.694 2.677
CELL_PARAMETERS angstrom
3.694 0.000 0.000
0.000 3.694 0.000
1.847 1.847 5.353


! ZrV4P2, relaxed, DFT PBE; values from VASP
! - space-group type = No. 65
! - energy of formation from the pure elements (meV/atom) = -578.0
&SYSTEM
  ibrav = 0, nat = 7, ntyp = 3
/
ATOMIC_SPECIES
Zr 91.22 Zr.upf
V 50.94 V.upf
P 30.97 P.upf
ATOMIC_POSITIONS angstrom
Zr 0.000 0.000 0.000
V 1.614 1.832 4.955
V 1.468 -0.099 3.041
V 0.448 2.142 2.191
V 3.093 2.158 2.836
P -0.836 0.122 2.708
P 2.898 3.851 4.438
CELL_PARAMETERS angstrom
-2.500 1.914 1.269
-0.661 -2.708 2.782
5.223 4.768 3.095


! P2W3, relaxed, DFT PBE; values from VASP
! - space-group type = No. 164
! - energy of formation from the pure elements (meV/atom) = 256.0
&SYSTEM
  ibrav = 0, nat = 5, ntyp = 2
/
ATOMIC_SPECIES
P 30.97 P.upf
W 183.84 W.upf
ATOMIC_POSITIONS angstrom
P -1.982 -1.344 -1.071
P -1.087 -4.626 0.755
W 0.000 0.000 0.000
W -2.961 -3.130 0.345
W -0.109 -2.840 -0.661
CELL_PARAMETERS angstrom
-3.633 0.559 -1.805
2.665 -2.692 -1.554
-2.102 -3.837 3.043


! PW5, relaxed, DFT PBE; values from VASP
! - space-group type = No. 216
! - energy of formation from the pure elements (meV/atom) = 780.8
&SYSTEM
  ibrav = 0, nat = 6, ntyp = 2
/
ATOMIC_SPECIES
P 30.97 P.upf
W 183.84 W.upf
ATOMIC_POSITIONS angstrom
P 0.000 0.000 0.000
W -5.928 -0.743 7.548
W -3.530 -1.762 5.922
W -3.857 0.838 5.920
W -5.459 -0.685 4.512
W -2.964 -0.371 3.774
CELL_PARAMETERS angstrom
-1.131 -2.781 4.295
-1.786 2.418 4.292
-4.988 -0.627 1.477


! P2W, relaxed, DFT PBE; values from VASP
! - space-group type = No. 123
! - energy of formation from the pure elements (meV/atom) = 422.0
&SYSTEM
  ibrav = 0, nat = 3, ntyp = 2
/
ATOMIC_SPECIES
P 30.97 P.upf
W 183.84 W.upf
ATOMIC_POSITIONS angstrom
P 0.910 1.573 1.767
P -1.790 1.520 0.953
W 0.000 0.000 0.000
CELL_PARAMETERS angstrom
-3.513 -0.086 1.887
1.887 0.019 3.514
-0.067 3.127 0.019


! P3W2, relaxed, DFT PBE; values from VASP
! - space-group type = No. 43
! - energy of formation from the pure elements (meV/atom) = -23.1
&SYSTEM
  ibrav = 0, nat = 10, ntyp = 2
/
ATOMIC_SPECIES
P 30.97 P.upf
W 183.84 W.upf
ATOMIC_POSITIONS angstrom
P 1.855 4.053 8.859
P 1.855 6.409 4.151
P 3.006 3.793 5.606
P 3.006 6.668 7.404
P 1.685 2.615 3.252
P 0.533 5.231 6.505
W 0.757 2.845 5.464
W 0.757 2.385 1.041
W 1.908 5.000 2.211
W 1.908 5.461 10.799
CELL_PARAMETERS angstrom
0.000 5.231 6.505
2.302 0.000 6.505
2.302 5.231 0.000


! P2W, relaxed, DFT PBE; values from VASP
! - space-group type = No. 194
! - energy of formation from the pure elements (meV/atom) = 529.7
&SYSTEM
  ibrav = 0, nat = 6, ntyp = 2
/
ATOMIC_SPECIES
P 30.97 P.upf
W 183.84 W.upf
ATOMIC_POSITIONS angstrom
P 0.000 0.000 0.000
P -1.922 -1.052 1.327
P -2.259 -0.889 -1.504
P -4.466 0.231 1.133
W -2.544 1.283 -0.194
W -4.181 -1.941 -0.177
CELL_PARAMETERS angstrom
-1.868 3.981 0.452
-1.013 -2.535 -3.477
-3.845 -2.105 2.654


! P3W4, relaxed, DFT PBE; values from VASP
! - space-group type = No. 139
! - energy of formation from the pure elements (meV/atom) = -150.3
&SYSTEM
  ibrav = 0, nat = 7, ntyp = 2
/
ATOMIC_SPECIES
P 30.97 P.upf
W 183.84 W.upf
ATOMIC_POSITIONS angstrom
P 0.000 0.000 0.000
P 7.327 -10.402 7.964
P 2.946 -4.182 3.202
W 8.612 -12.225 9.360
W 1.662 -2.359 1.806
W 5.846 -8.299 6.354
W 4.427 -6.285 4.812
CELL_PARAMETERS angstrom
4.944 -8.697 3.924
5.329 -5.886 7.242
-7.032 6.584 -4.763


Copy entry 2 word for word.
! ZrV4P2, relaxed, DFT PBE; values from VASP
! - space-group type = No. 65
! - energy of formation from the pure elements (meV/atom) = -578.0
&SYSTEM
  ibrav = 0, nat = 7, ntyp = 3
/
ATOMIC_SPECIES
Zr 91.22 Zr.upf
V 50.94 V.upf
P 30.97 P.upf
ATOMIC_POSITIONS angstrom
Zr 0.000 0.000 0.000
V 1.614 1.832 4.955
V 1.468 -0.099 3.041
V 0.448 2.142 2.191
V 3.093 2.158 2.836
P -0.836 0.122 2.708
P 2.898 3.851 4.438
CELL_PARAMETERS angstrom
-2.500 1.914 1.269
-0.661 -2.708 2.782
5.223 4.768 3.095


Among the records above, which one has the highest energy of formation from the pure elements? PW5


Which value of energy of formation from the pure elements does entry 7 give? 529.7 meV/atom